# 1
Density functional theory data (PBE) for a relaxed Pm2ErSc2Pd5 crystal.

Values from the calculation:
**Calculated density**: 8.44 Mg/m³
**M_tot**: 0.00 μB per formula unit
**Energy of formation from the pure elements**: -721.2 meV/atom
**SG**: No. 127

Unit cell a=10.830 b=10.830 c=3.621 alpha=90.00 beta=90.00 gamma=90.00
Fractional coordinates of all 20 atoms:
1 Pm 0.175 0.325 0.000
2 Pm 0.325 0.825 0.000
3 Pm 0.675 0.175 0.000
4 Pm 0.825 0.675 0.000
5 Er 0.000 0.000 0.000
6 Er 0.500 0.500 0.000
7 Sc 0.127 0.627 0.000
8 Sc 0.373 0.127 0.000
9 Sc 0.627 0.873 0.000
10 Sc 0.873 0.373 0.000
11 Pd 0.000 0.500 0.500
12 Pd 0.043 0.796 0.500
13 Pd 0.204 0.043 0.500
14 Pd 0.296 0.543 0.500
15 Pd 0.457 0.296 0.500
16 Pd 0.500 0.000 0.500
17 Pd 0.543 0.704 0.500
18 Pd 0.704 0.457 0.500
19 Pd 0.796 0.957 0.500
20 Pd 0.957 0.204 0.500

---

# 2
Density functional theory data (PBE) for a relaxed PmErSiPd crystal.

Values from the calculation:
**Calculated density**: 8.25 Mg/m³
**Formation energy (no corrections)**: -2.7 eV per formula unit
**M_tot**: 0.00 μB per formula unit
**SG**: No. 216

Unit cell a=7.111 b=7.111 c=7.111 alpha=90.00 beta=90.00 gamma=90.00
Fractional coordinates of all 16 atoms:
1 Pm 0.000 0.000 0.000
2 Pm 0.000 0.500 0.500
3 Pm 0.500 0.000 0.500
4 Pm 0.500 0.500 0.000
5 Er 0.000 0.000 0.500
6 Er 0.000 0.500 0.000
7 Er 0.500 0.000 0.000
8 Er 0.500 0.500 0.500
9 Si 0.250 0.250 0.750
10 Si 0.250 0.750 0.250
11 Si 0.750 0.250 0.250
12 Si 0.750 0.750 0.750
13 Pd 0.250 0.250 0.250
14 Pd 0.250 0.750 0.750
15 Pd 0.750 0.250 0.750
16 Pd 0.750 0.750 0.250

---

# 3
Density functional theory data (PBE) for a relaxed PmErSiPd crystal.

Values from the calculation:
**Calculated density**: 8.01 Mg/m³
**Formation energy (no corrections)**: -3.2 eV per formula unit
**M_tot**: 0.00 μB per formula unit
**SG**: No. 38

Unit cell a=4.231 b=3.999 c=10.952 alpha=90.00 beta=90.00 gamma=90.00
Fractional coordinates of all 8 atoms:
1 Pm 0.000 0.000 0.000
2 Pm 0.000 0.500 0.500
3 Er 0.500 0.000 0.279
4 Er 0.500 0.500 0.779
5 Si 0.000 0.000 0.724
6 Si 0.000 0.500 0.224
7 Pd 0.500 0.000 0.573
8 Pd 0.500 0.500 0.073

---

# 4
Density functional theory data (PBE) for a relaxed PmErSn2Pd4 crystal.

Values from the calculation:
**Calculated density**: 10.07 Mg/m³
**M_tot**: 0.00 μB per formula unit
**Energy of formation from the pure elements**: -849.9 meV/atom
**SG**: No. 166

Unit cell a=8.712 b=8.712 c=8.712 alpha=31.56 beta=31.56 gamma=31.56
Fractional coordinates of all 8 atoms:
1 Pm 0.000 0.000 0.000
2 Er 0.500 0.500 0.500
3 Sn 0.248 0.248 0.248
4 Sn 0.752 0.752 0.752
5 Pd 0.124 0.124 0.124
6 Pd 0.387 0.387 0.387
7 Pd 0.613 0.613 0.613
8 Pd 0.876 0.876 0.876

---

# 5
Density functional theory data (PBE) for a relaxed PmErTlPd crystal.

Values from the calculation:
**Calculated density**: 10.27 Mg/m³
**M_tot**: 0.00 μB per formula unit
**Energy of formation from the pure elements**: -518.8 meV/atom
**SG**: No. 216

Unit cell a=7.387 b=7.387 c=7.387 alpha=90.00 beta=90.00 gamma=90.00
Fractional coordinates of all 16 atoms:
1 Pm 0.000 0.000 0.000
2 Pm 0.000 0.500 0.500
3 Pm 0.500 0.000 0.500
4 Pm 0.500 0.500 0.000
5 Er 0.000 0.000 0.500
6 Er 0.000 0.500 0.000
7 Er 0.500 0.000 0.000
8 Er 0.500 0.500 0.500
9 Tl 0.250 0.250 0.750
10 Tl 0.250 0.750 0.250
11 Tl 0.750 0.250 0.250
12 Tl 0.750 0.750 0.750
13 Pd 0.250 0.250 0.250
14 Pd 0.250 0.750 0.750
15 Pd 0.750 0.250 0.750
16 Pd 0.750 0.750 0.250

---

# 6
Density functional theory data (PBE) for a relaxed PmErZnPd crystal.

Values from the calculation:
**Calculated density**: 8.85 Mg/m³
**M_tot**: 0.00 μB per formula unit
**Energy of formation from the pure elements**: -599.4 meV/atom
**SG**: No. 99

Unit cell a=3.585 b=3.585 c=7.065 alpha=90.00 beta=90.00 gamma=90.00
Fractional coordinates of all 4 atoms:
1 Pm 0.000 0.000 0.000
2 Er 0.000 0.000 0.490
3 Zn 0.500 0.500 0.730
4 Pd 0.500 0.500 0.270

---

# 7
Density functional theory data (PBE) for a relaxed PmErZnPd crystal.

Values from the calculation:
**Calculated density**: 8.82 Mg/m³
**M_tot**: 0.00 μB per formula unit
**Energy of formation from the pure elements**: -567.3 meV/atom
**SG**: No. 216

Unit cell a=7.143 b=7.143 c=7.143 alpha=90.00 beta=90.00 gamma=90.00
Fractional coordinates of all 16 atoms:
1 Pm 0.000 0.000 0.000
2 Pm 0.000 0.500 0.500
3 Pm 0.500 0.000 0.500
4 Pm 0.500 0.500 0.000
5 Er 0.000 0.000 0.500
6 Er 0.000 0.500 0.000
7 Er 0.500 0.000 0.000
8 Er 0.500 0.500 0.500
9 Zn 0.250 0.250 0.250
10 Zn 0.250 0.750 0.750
11 Zn 0.750 0.250 0.750
12 Zn 0.750 0.750 0.250
13 Pd 0.250 0.250 0.750
14 Pd 0.250 0.750 0.250
15 Pd 0.750 0.250 0.250
16 Pd 0.750 0.750 0.750

---

# 8
Density functional theory data (PBE) for a relaxed Pr2ErPd2 crystal.

Values from the calculation:
**Calculated density**: 8.48 Mg/m³
**M_tot**: 0.00 μB per formula unit
**Energy of formation from the pure elements**: -651.4 meV/atom
**SG**: No. 127

Unit cell a=7.931 b=7.931 c=4.121 alpha=90.00 beta=90.00 gamma=90.00
Fractional coordinates of all 10 atoms:
1 Pr 0.169 0.331 0.000
2 Pr 0.331 0.831 0.000
3 Pr 0.669 0.169 0.000
4 Pr 0.831 0.669 0.000
5 Er 0.000 0.000 0.500
6 Er 0.500 0.500 0.500
7 Pd 0.130 0.630 0.500
8 Pd 0.370 0.130 0.500
9 Pd 0.630 0.870 0.500
10 Pd 0.870 0.370 0.500

---

# 9
Density functional theory data (PBE) for a relaxed Pr2ErPd crystal.

Values from the calculation:
**Calculated density**: 7.21 Mg/m³
**M_tot**: 0.00 μB per formula unit
**Energy of formation from the pure elements**: -12.6 meV/atom
**SG**: No. 166

Unit cell a=3.689 b=3.689 c=32.580 alpha=90.00 beta=90.00 gamma=120.00
Fractional coordinates of all 12 atoms:
1 Pr 0.000 0.000 0.105
2 Pr 0.000 0.000 0.895
3 Pr 0.333 0.667 0.562
4 Pr 0.333 0.667 0.772
5 Pr 0.667 0.333 0.228
6 Pr 0.667 0.333 0.438
7 Er 0.000 0.000 0.000
8 Er 0.333 0.667 0.667
9 Er 0.667 0.333 0.333
10 Pd 0.000 0.000 0.500
11 Pd 0.333 0.667 0.167
12 Pd 0.667 0.333 0.833

---

# 10
Density functional theory data (PBE) for a relaxed Pr2ErPd2 crystal.

Values from the calculation:
**Calculated density**: 8.31 Mg/m³
**M_tot**: 0.00 μB per formula unit
**Energy of formation from the pure elements**: -671.7 meV/atom
**SG**: No. 12

Unit cell a=6.855 b=6.855 c=11.501 alpha=117.67 beta=117.67 gamma=34.04
Fractional coordinates of all 10 atoms:
1 Pr 0.045 0.045 0.196
2 Pr 0.170 0.170 0.578
3 Pr 0.830 0.830 0.422
4 Pr 0.955 0.955 0.804
5 Er 0.295 0.295 0.141
6 Er 0.705 0.705 0.859
7 Pd 0.376 0.376 0.947
8 Pd 0.488 0.488 0.620
9 Pd 0.512 0.512 0.380
10 Pd 0.624 0.624 0.053

---

# 11
Density functional theory data (PBE) for a relaxed Pr2ErPd crystal.

Values from the calculation:
**Calculated density**: 7.92 Mg/m³
**M_tot**: 0.00 μB per formula unit
**Energy of formation from the pure elements**: -299.4 meV/atom
**SG**: No. 123

Unit cell a=3.736 b=3.736 c=8.346 alpha=90.00 beta=90.00 gamma=90.00
Fractional coordinates of all 4 atoms:
1 Pr 0.000 0.000 0.207
2 Pr 0.000 0.000 0.793
3 Er 0.500 0.500 0.500
4 Pd 0.500 0.500 0.000

---

# 12
Density functional theory data (PBE) for a relaxed Pr2Er3Pd2 crystal.

Values from the calculation:
**Calculated density**: 8.66 Mg/m³
**M_tot**: 0.00 μB per formula unit
**Energy of formation from the pure elements**: -527.3 meV/atom
**SG**: No. 12

Unit cell a=12.686 b=3.729 c=9.160 alpha=90.00 beta=118.14 gamma=90.00
Fractional coordinates of all 14 atoms:
1 Pr 0.154 0.000 0.313
2 Pr 0.346 0.500 0.687
3 Pr 0.654 0.500 0.313
4 Pr 0.846 0.000 0.687
5 Er 0.000 0.500 0.500
6 Er 0.116 0.500 0.942
7 Er 0.384 0.000 0.058
8 Er 0.500 0.000 0.500
9 Er 0.616 0.000 0.942
10 Er 0.884 0.500 0.058
11 Pd 0.162 0.000 0.741
12 Pd 0.338 0.500 0.259
13 Pd 0.662 0.500 0.741
14 Pd 0.838 0.000 0.259

---

- What is the M_tot in the tenth record?
  0.00 μB per formula unit